Material: AgHSe2Br
Method: DFT, PBE
State: optimized geometry

Cell: 5.1836 5.1836 5.4859 Å, 90.00 90.00 90.00°
With the nearest neighbours (Å) after each atom.
Space group P4/mmm (No. 123)
Asymmetric unit:
Ag 0.0000 0.0000 0.0000 x1  4 Se 2.59, 2 Br 2.74
H 0.5000 0.5000 0.5000 x1  4 Br 3.67, 8 Se 3.77
Se 0.0000 0.5000 0.0000 x2  2 Ag 2.59
Br 0.0000 0.0000 0.5000 x1  2 Ag 2.74

Computed properties:
excess energy over the best structure of this formula in the dataset: 0.658 eV per atom
calculated total energy: -2.06 eV/atom
magnetization: 0.75 μB per atom
D(E_F): 0.4878 states/eV per atom